1.
Entry from Alexandria: an optimized crystal structure of ZrInRe2C (GGA-PBEsol). Values from VASP.

Output
M_tot in μB per atom: 0.029
N(E_F) in states/eV per atom: 0.946
Crystal system: tetragonal
ΔH_f (0 K) in eV/atom: 2.534

Cell and atoms, written as Quantum ESPRESSO input:
```
&SYSTEM
  ibrav = 0, nat = 5, ntyp = 4
/
ATOMIC_SPECIES
In 114.82 In.upf
Re 186.21 Re.upf
Zr 91.22 Zr.upf
C 12.01 C.upf
CELL_PARAMETERS angstrom
3.856 0.000 0.000
0.000 4.953 0.000
0.000 0.000 4.953
ATOMIC_POSITIONS angstrom
In 0.000 0.000 0.000
Re 0.000 0.000 2.477
Re 0.000 2.477 0.000
Zr 1.928 2.477 2.477
C 1.928 0.000 0.000
```

2.
Entry from Alexandria: an optimized crystal structure of In3RuC (GGA-PBEsol). Values from VASP.

Output
M_tot in μB per atom: 0.000
N(E_F) in states/eV per atom: 0.561
Crystal system: cubic
Distance to the lowest polymorph of the same formula in eV per atom: 0.0000
ΔH_f (0 K) in eV/atom: 1.156

Cell and atoms, written as Quantum ESPRESSO input:
```
&SYSTEM
  ibrav = 0, nat = 5, ntyp = 3
/
ATOMIC_SPECIES
In 114.82 In.upf
C 12.01 C.upf
Ru 101.07 Ru.upf
CELL_PARAMETERS angstrom
4.476 0.000 0.000
0.000 4.476 0.000
0.000 0.000 4.476
ATOMIC_POSITIONS angstrom
In 2.238 0.000 0.000
In 0.000 2.238 0.000
C 0.000 0.000 0.000
Ru 2.238 2.238 2.238
In 0.000 0.000 2.238
```

3.
Entry from Alexandria: an optimized crystal structure of In3RuC (GGA-PBEsol). Values from VASP.

Output
M_tot in μB per atom: 0.460
N(E_F) in states/eV per atom: 0.538
Crystal system: cubic
Distance to the lowest polymorph of the same formula in eV per atom: 0.2846
ΔH_f (0 K) in eV/atom: 1.441

Cell and atoms, written as Quantum ESPRESSO input:
```
&SYSTEM
  ibrav = 0, nat = 5, ntyp = 3
/
ATOMIC_SPECIES
In 114.82 In.upf
C 12.01 C.upf
Ru 101.07 Ru.upf
CELL_PARAMETERS angstrom
5.048 0.000 0.000
0.000 5.048 0.000
0.000 0.000 5.048
ATOMIC_POSITIONS angstrom
In 0.000 0.000 2.524
C 2.524 2.524 2.524
In 2.524 0.000 0.000
Ru 0.000 0.000 0.000
In 0.000 2.524 0.000
```

4.
Entry from Alexandria: an optimized crystal structure of SrInRuC2 (GGA-PBEsol). Values from VASP.

Output
M_tot in μB per atom: 0.358
N(E_F) in states/eV per atom: 1.143
Crystal system: tetragonal
ΔH_f (0 K) in eV/atom: 3.241

Cell and atoms, written as Quantum ESPRESSO input:
```
&SYSTEM
  ibrav = 0, nat = 5, ntyp = 4
/
ATOMIC_SPECIES
In 114.82 In.upf
C 12.01 C.upf
Ru 101.07 Ru.upf
Sr 87.62 Sr.upf
CELL_PARAMETERS angstrom
4.292 0.000 0.000
0.000 4.292 0.000
0.000 0.000 5.727
ATOMIC_POSITIONS angstrom
In 0.000 0.000 2.864
C 0.000 2.146 0.000
Ru 2.146 2.146 2.864
C 2.146 0.000 0.000
Sr 0.000 0.000 0.000
```

5.
Entry from Alexandria: an optimized crystal structure of InSbC3 (GGA-PBEsol). Values from VASP.

Output
E_form (uncorrected) in eV per formula unit: 14.873
M_tot in μB per atom: 0.152
N(E_F) in states/eV per atom: 0.887
Crystal system: cubic

Cell and atoms, written as Quantum ESPRESSO input:
```
&SYSTEM
  ibrav = 0, nat = 5, ntyp = 3
/
ATOMIC_SPECIES
C 12.01 C.upf
In 114.82 In.upf
Sb 121.76 Sb.upf
CELL_PARAMETERS angstrom
-3.903 1.764 0.339
0.268 -0.231 4.282
1.776 3.911 0.100
ATOMIC_POSITIONS angstrom
C -1.952 0.882 0.170
C 0.888 1.956 0.050
In 0.000 0.000 0.000
C 0.134 -0.116 2.141
Sb -0.930 2.722 2.361
```

6.
Entry from Alexandria: an optimized crystal structure of ZnInSbC2 (GGA-PBEsol). Values from VASP.

Output
E_form (uncorrected) in eV per formula unit: 10.037
M_tot in μB per atom: 0.001
N(E_F) in states/eV per atom: 0.681
Crystal system: tetragonal

Cell and atoms, written as Quantum ESPRESSO input:
```
&SYSTEM
  ibrav = 0, nat = 5, ntyp = 4
/
ATOMIC_SPECIES
C 12.01 C.upf
Zn 65.41 Zn.upf
Sb 121.76 Sb.upf
In 114.82 In.upf
CELL_PARAMETERS angstrom
4.063 0.000 0.000
0.000 4.063 0.000
0.000 0.000 5.402
ATOMIC_POSITIONS angstrom
C 2.032 0.000 0.000
C 0.000 2.032 0.000
Zn 0.000 0.000 0.000
Sb 0.000 0.000 2.701
In 2.032 2.032 2.701
```

7.
Entry from Alexandria: an optimized crystal structure of Sc2InC (GGA-PBEsol). Values from VASP.

Output
M_tot in μB per atom: 0.000
N(E_F) in states/eV per atom: 0.623
Crystal system: hexagonal
Distance to the lowest polymorph of the same formula in eV per atom: 0.0000
ΔH_f (0 K) in eV/atom: -0.588

Cell and atoms, written as Quantum ESPRESSO input:
```
&SYSTEM
  ibrav = 0, nat = 8, ntyp = 3
/
ATOMIC_SPECIES
Sc 44.96 Sc.upf
C 12.01 C.upf
In 114.82 In.upf
CELL_PARAMETERS angstrom
-0.948 -1.190 2.946
-1.521 -1.015 -2.765
10.030 -11.344 -1.354
ATOMIC_POSITIONS angstrom
Sc 2.880 -5.835 -1.430
Sc -0.525 -1.984 -0.970
C 0.000 0.000 0.000
Sc 8.087 -11.565 -0.203
C 5.015 -5.672 -0.677
In 6.193 -9.581 -1.877
In 1.369 -3.967 0.704
Sc 4.681 -7.713 0.257
```

8.
Entry from Alexandria: an optimized crystal structure of ScInC3 (GGA-PBEsol). Values from VASP.

Output
M_tot in μB per atom: 0.000
N(E_F) in states/eV per atom: 0.704
Crystal system: cubic
ΔH_f (0 K) in eV/atom: 2.386

Cell and atoms, written as Quantum ESPRESSO input:
```
&SYSTEM
  ibrav = 0, nat = 5, ntyp = 3
/
ATOMIC_SPECIES
C 12.01 C.upf
In 114.82 In.upf
Sc 44.96 Sc.upf
CELL_PARAMETERS angstrom
4.197 0.000 0.000
0.000 4.197 0.000
0.000 0.000 4.197
ATOMIC_POSITIONS angstrom
C 0.000 0.000 2.099
C 0.000 2.099 0.000
C 2.099 0.000 0.000
In 0.000 0.000 0.000
Sc 2.099 2.099 2.099
```

9.
Entry from Alexandria: an optimized crystal structure of Sc2InC (GGA-PBEsol). Values from VASP.

Output
M_tot in μB per atom: 0.000
N(E_F) in states/eV per atom: 1.035
Crystal system: trigonal
Distance to the lowest polymorph of the same formula in eV per atom: 1.3830
ΔH_f (0 K) in eV/atom: 0.795

Cell and atoms, written as Quantum ESPRESSO input:
```
&SYSTEM
  ibrav = 0, nat = 4, ntyp = 3
/
ATOMIC_SPECIES
C 12.01 C.upf
Sc 44.96 Sc.upf
In 114.82 In.upf
CELL_PARAMETERS angstrom
3.327 0.000 0.000
1.664 2.881 0.000
1.664 0.960 8.945
ATOMIC_POSITIONS angstrom
C 0.000 0.000 0.000
Sc 4.991 2.881 2.092
Sc 1.664 0.960 6.853
In 3.327 1.921 4.472
```

10.
Entry from Alexandria: an optimized crystal structure of Sc2InTcC (GGA-PBEsol). Values from VASP.

Output
M_tot in μB per atom: 0.284
N(E_F) in states/eV per atom: 1.351
Crystal system: tetragonal
ΔH_f (0 K) in eV/atom: 2.328

Cell and atoms, written as Quantum ESPRESSO input:
```
&SYSTEM
  ibrav = 0, nat = 5, ntyp = 4
/
ATOMIC_SPECIES
C 12.01 C.upf
Sc 44.96 Sc.upf
Tc 98.00 Tc.upf
In 114.82 In.upf
CELL_PARAMETERS angstrom
-3.668 -2.460 1.923
1.967 -4.388 -1.861
2.702 -0.632 4.346
ATOMIC_POSITIONS angstrom
C 0.500 -3.740 2.204
Sc 1.351 -0.316 2.173
Tc -1.834 -1.230 0.961
Sc 0.984 -2.194 -0.931
In 0.000 0.000 0.000
```

11.
Entry from Alexandria: an optimized crystal structure of InC2Se (GGA-PBEsol). Values from VASP.

Output
E_form (uncorrected) in eV per formula unit: 5.822
M_tot in μB per atom: 0.000
N(E_F) in states/eV per atom: 0.629
Crystal system: tetragonal

Cell and atoms, written as Quantum ESPRESSO input:
```
&SYSTEM
  ibrav = 0, nat = 8, ntyp = 3
/
ATOMIC_SPECIES
Se 78.96 Se.upf
C 12.01 C.upf
In 114.82 In.upf
CELL_PARAMETERS angstrom
4.892 0.000 0.000
0.000 4.892 0.000
-2.446 -2.446 5.036
ATOMIC_POSITIONS angstrom
Se 2.446 2.446 0.000
C 1.396 3.669 1.259
C 3.496 1.223 1.259
In 0.000 0.000 0.000
C -1.223 -1.050 3.777
Se 2.446 0.000 2.518
C 1.223 1.050 3.777
In 0.000 2.446 2.518
```

12.
Entry from Alexandria: an optimized crystal structure of InSi2C (GGA-PBEsol). Values from VASP.

Output
E_form (uncorrected) in eV per formula unit: 6.395
M_tot in μB per atom: 0.000
N(E_F) in states/eV per atom: 0.464
Crystal system: cubic

Cell and atoms, written as Quantum ESPRESSO input:
```
&SYSTEM
  ibrav = 0, nat = 4, ntyp = 3
/
ATOMIC_SPECIES
C 12.01 C.upf
Si 28.09 Si.upf
In 114.82 In.upf
CELL_PARAMETERS angstrom
-2.467 -1.734 -3.260
-3.314 -2.792 0.969
-4.216 1.293 -0.521
ATOMIC_POSITIONS angstrom
C 0.000 0.000 0.000
Si -7.499 -2.425 -2.109
In -4.999 -1.617 -1.406
Si -2.500 -0.808 -0.703
```

13.
Entry from Alexandria: an optimized crystal structure of InSiC2 (GGA-PBEsol). Values from VASP.

Output
E_form (uncorrected) in eV per formula unit: 8.229
M_tot in μB per atom: 0.000
N(E_F) in states/eV per atom: 0.477
Crystal system: cubic

Cell and atoms, written as Quantum ESPRESSO input:
```
&SYSTEM
  ibrav = 0, nat = 4, ntyp = 3
/
ATOMIC_SPECIES
Si 28.09 Si.upf
C 12.01 C.upf
In 114.82 In.upf
CELL_PARAMETERS angstrom
-3.635 -0.096 1.760
-0.470 -1.843 3.564
-0.691 2.184 3.327
ATOMIC_POSITIONS angstrom
Si 0.000 0.000 0.000
C -3.597 0.184 6.488
C -1.199 0.061 2.163
In -2.398 0.123 4.325
```

14.
Entry from Alexandria: an optimized crystal structure of InSn3C (GGA-PBEsol). Values from VASP.

Output
M_tot in μB per atom: 0.266
N(E_F) in states/eV per atom: 0.417
Crystal system: cubic
ΔH_f (0 K) in eV/atom: 1.985

Cell and atoms, written as Quantum ESPRESSO input:
```
&SYSTEM
  ibrav = 0, nat = 5, ntyp = 3
/
ATOMIC_SPECIES
Sn 118.71 Sn.upf
In 114.82 In.upf
C 12.01 C.upf
CELL_PARAMETERS angstrom
5.505 0.000 0.000
0.000 5.505 0.000
0.000 0.000 5.505
ATOMIC_POSITIONS angstrom
Sn 2.753 0.000 0.000
In 0.000 0.000 0.000
Sn 0.000 0.000 2.753
C 2.753 2.753 2.753
Sn 0.000 2.753 0.000
```